Record 1
The following is a PBE calculation of crystalline Ce4HoSn5 at its relaxed geometry, from Alexandria via LeMat-Bulk.

abc: 4.117 4.117 16.177
angles: 90.00 90.00 90.00
Space group P4/mmm (No. 123)
Unique sites:
Ce (0.000, 0.000, 0.099) (multiplicity 2)
Ce (0.000, 0.000, 0.298) (multiplicity 2)
Ho (0.000, 0.000, 0.500) (multiplicity 1)
Sn (0.500, 0.500, 0.000) (multiplicity 1)
Sn (0.500, 0.500, 0.199) (multiplicity 2)
Sn (0.500, 0.500, 0.402) (multiplicity 2)

Properties
As for the formation energy from the elements: -586 meV per atom. The value obtained for the total moment is 0.165 μB per formula unit. The density of states at the Fermi level comes out at 20.5 states/eV/f.u. The calculation puts the total energy at -5.419 eV per atom.

Record 2
The following is a PBE calculation of crystalline CeHo2Sn3 at its relaxed geometry, from Alexandria via LeMat-Bulk.

abc: 5.143 6.275 10.986
angles: 90.00 90.00 90.00
Space group Immm (No. 71)
Unique sites:
Ce (0.000, 0.000, 0.000) (multiplicity 2)
Ho (0.000, 0.000, 0.336) (multiplicity 4)
Sn (0.000, 0.500, 0.000) (multiplicity 2)
Sn (0.000, 0.500, 0.326) (multiplicity 4)

Properties
As for the formation energy from the elements: -523 meV per atom. The value obtained for the total moment is 0.347 μB per formula unit. The density of states at the Fermi level comes out at 7.1 states/eV/f.u. The calculation puts the total energy at -5.039 eV per atom.

Record 3
The following is a PBE calculation of crystalline Ce3HoSn12 at its relaxed geometry, from Alexandria via LeMat-Bulk.

abc: 4.740 4.740 18.638
angles: 90.00 90.00 90.00
Space group P4/mmm (No. 123)
Unique sites:
Ce (0.000, 0.000, 0.000) (multiplicity 1)
Ce (0.000, 0.000, 0.250) (multiplicity 2)
Ho (0.000, 0.000, 0.500) (multiplicity 1)
Sn (0.000, 0.500, 0.125) (multiplicity 4)
Sn (0.000, 0.500, 0.377) (multiplicity 4)
Sn (0.500, 0.500, 0.000) (multiplicity 1)
Sn (0.500, 0.500, 0.251) (multiplicity 2)
Sn (0.500, 0.500, 0.500) (multiplicity 1)

Properties
As for the formation energy from the elements: -508 meV per atom. The value obtained for the total moment is 1.104 μB per formula unit. The density of states at the Fermi level comes out at 15.4 states/eV/f.u. The calculation puts the total energy at -4.909 eV per atom.